Computed, not measured: a relaxed structure of ErThZr at the PBE-GGA level of DFT.

Cell lengths 7.3265, 7.3265, 7.3265 Å; angles 90.00, 90.00, 90.00 degrees
Closest atoms and distances in Å follow each position.
Space group F-43m (No. 216)
Inequivalent atoms, fractional coordinates:
Er  0.0000  0.0000  0.0000 x4  4 Zr 3.17
Th  0.0000  0.0000  0.5000 x4  4 Zr 3.17
Zr  0.2500  0.2500  0.2500 x4  4 Th 3.17, 4 Er 3.17

Results
The value obtained for the energy of formation is 719.5 meV per atom. Its raw total energy is -73.5 eV per cell.